{
  "formula": "Ca2Y2Mn",
  "functional": "PBE-GGA",
  "state": "relaxed",
  "e_tot_ev_per_atom": -4.681,
  "polymorph_energy_mev_per_atom": 0,
  "rho_g_cm3": 3.3,
  "ef_ev_per_atom": 0.5391,
  "crystal_system": "tetragonal",
  "cell": [[7.4969, 0.0000, 0.0000], [0.0000, 7.4969, 0.0000], [0.0000, 0.0000, 5.6463]],
  "species": ["Ca", "Ca", "Ca", "Ca", "Y", "Y", "Y", "Y", "Mn", "Mn"],
  "fractional_positions": [[0.1498, 0.3502, 0.0000], [0.3502, 0.8502, 0.0000], [0.6498, 0.1498, 0.0000], [0.8502, 0.6498, 0.0000], [0.1747, 0.6747, 0.5000], [0.3253, 0.1747, 0.5000], [0.6747, 0.8253, 0.5000], [0.8253, 0.3253, 0.5000], [0.0000, 0.0000, 0.0000], [0.5000, 0.5000, 0.0000]]
}